[1]
Density functional theory data (PBE-GGA) for a relaxed KRb2Pb crystal.

Calculated values
calculated volume	268.15	Å³ per cell
space-group type	P-3m1, No. 164
formation energy from the elements	0.0	kJ per mole of atoms
polymorph energy (0 for the lowest one)	0.075	eV per atom

Cell lengths 6.576, 6.576, 7.161 Å; angles 90.00, 90.00, 120.00 degrees
Fractional coordinates of all 4 atoms:
K: 0.000 0.000 0.000
Rb: 0.333 0.667 0.631
Rb: 0.667 0.333 0.369
Pb: 0.000 0.000 0.500



[2]
Density functional theory data (PBE-GGA) for a relaxed K5Rb5Pb crystal.

Calculated values
calculated volume	822.86	Å³ per cell
space-group type	C2/m, No. 12
formation energy from the elements	3.0	kJ per mole of atoms

Cell lengths 12.561, 12.561, 10.042 Å; angles 113.51, 113.51, 34.87 degrees
Fractional coordinates of all 11 atoms:
K: 0.000 0.000 0.000
K: 0.365 0.365 0.070
K: 0.366 0.366 0.660
K: 0.634 0.634 0.340
K: 0.635 0.635 0.930
Rb: 0.145 0.145 0.649
Rb: 0.207 0.207 0.211
Rb: 0.500 0.500 0.500
Rb: 0.793 0.793 0.789
Rb: 0.855 0.855 0.351
Pb: 0.500 0.500 0.000



[3]
Density functional theory data (PBE-GGA) for a relaxed K4Rb2Pb crystal.

Calculated values
calculated volume	523.29	Å³ per cell
space-group type	I4/mmm, No. 139
formation energy from the elements	3.5	kJ per mole of atoms

Cell lengths 11.956, 11.956, 11.956 Å; angles 146.32, 146.32, 48.36 degrees
Fractional coordinates of all 7 atoms:
K: 0.000 0.500 0.500
K: 0.161 0.161 0.000
K: 0.500 0.000 0.500
K: 0.839 0.839 0.000
Rb: 0.366 0.366 0.000
Rb: 0.634 0.634 0.000
Pb: 0.000 0.000 0.000



[4]
Density functional theory data (PBE-GGA) for a relaxed K5Rb12Pb2 crystal.

Calculated values
calculated volume	1430.76	Å³ per cell
space-group type	C2/m, No. 12
formation energy from the elements	0.3	kJ per mole of atoms

Cell lengths 13.049, 13.049, 12.627 Å; angles 100.60, 100.60, 42.76 degrees
Fractional coordinates of all 19 atoms:
K: 0.000 0.000 0.000
K: 0.223 0.223 0.719
K: 0.357 0.357 0.328
K: 0.643 0.643 0.672
K: 0.777 0.777 0.281
Rb: 0.041 0.041 0.668
Rb: 0.089 0.594 0.983
Rb: 0.093 0.627 0.607
Rb: 0.373 0.907 0.393
Rb: 0.406 0.911 0.017
Rb: 0.494 0.494 0.797
Rb: 0.506 0.506 0.203
Rb: 0.594 0.089 0.983
Rb: 0.627 0.093 0.607
Rb: 0.907 0.373 0.393
Rb: 0.911 0.406 0.017
Rb: 0.959 0.959 0.332
Pb: 0.341 0.659 0.500
Pb: 0.659 0.341 0.500



[5]
Density functional theory data (PBE-GGA) for a relaxed KRb2Pb crystal.

Calculated values
calculated volume	437.48	Å³ per cell
space-group type	I-42d, No. 122
formation energy from the elements	11.2	kJ per mole of atoms
polymorph energy (0 for the lowest one)	0.192	eV per atom

Cell lengths 14.267, 14.267, 14.267 Å; angles 157.15, 157.15, 32.53 degrees
Fractional coordinates of all 8 atoms:
K: 0.000 0.000 0.000
K: 0.750 0.250 0.500
Rb: 0.143 0.625 0.018
Rb: 0.375 0.393 0.518
Rb: 0.607 0.125 0.982
Rb: 0.875 0.857 0.482
Pb: 0.250 0.750 0.500
Pb: 0.500 0.500 0.000



[6]
Density functional theory data (PBE-GGA) for a relaxed K3Rb12Pb crystal.

Calculated values
calculated volume	1231.86	Å³ per cell
space-group type	P4/mmm, No. 123
formation energy from the elements	1.4	kJ per mole of atoms

Cell lengths 6.803, 6.803, 26.621 Å; angles 90.00, 90.00, 90.00 degrees
Fractional coordinates of all 16 atoms:
K: 0.000 0.000 0.000
K: 0.000 0.000 0.273
K: 0.000 0.000 0.727
Rb: 0.000 0.500 0.136
Rb: 0.000 0.500 0.409
Rb: 0.000 0.500 0.591
Rb: 0.000 0.500 0.864
Rb: 0.500 0.000 0.136
Rb: 0.500 0.000 0.409
Rb: 0.500 0.000 0.591
Rb: 0.500 0.000 0.864
Rb: 0.500 0.500 0.000
Rb: 0.500 0.500 0.271
Rb: 0.500 0.500 0.500
Rb: 0.500 0.500 0.729
Pb: 0.000 0.000 0.500



[7]
Density functional theory data (PBE-GGA) for a relaxed KRb2Pb9 crystal.

Calculated values
calculated volume	446.64	Å³ per cell
space-group type	R-3m, No. 166
formation energy from the elements	-10.8	kJ per mole of atoms

Cell lengths 11.419, 11.419, 11.419 Å; angles 35.41, 35.41, 35.41 degrees
Fractional coordinates of all 12 atoms:
K: 0.000 0.000 0.000
Rb: 0.141 0.141 0.141
Rb: 0.859 0.859 0.859
Pb: 0.080 0.585 0.585
Pb: 0.337 0.337 0.337
Pb: 0.415 0.415 0.920
Pb: 0.415 0.920 0.415
Pb: 0.500 0.500 0.500
Pb: 0.585 0.080 0.585
Pb: 0.585 0.585 0.080
Pb: 0.663 0.663 0.663
Pb: 0.920 0.415 0.415



[8]
Density functional theory data (PBE-GGA) for a relaxed KRbPb crystal.

Calculated values
calculated volume	303.04	Å³ per cell
space-group type	Fmmm, No. 69
formation energy from the elements	-5.1	kJ per mole of atoms
polymorph energy (0 for the lowest one)	0.052	eV per atom

Cell lengths 9.407, 7.593, 7.371 Å; angles 77.88, 52.11, 50.01 degrees
Fractional coordinates of all 6 atoms:
K: 0.176 0.176 0.824
K: 0.824 0.824 0.176
Rb: 0.332 0.668 0.332
Rb: 0.668 0.332 0.668
Pb: 0.250 0.250 0.250
Pb: 0.750 0.750 0.750



[9]
Density functional theory data (PBE-GGA) for a relaxed K11Rb17Pb crystal.

Calculated values
calculated volume	2311.53	Å³ per cell
space-group type	Cm, No. 8
formation energy from the elements	0.6	kJ per mole of atoms

Cell lengths 14.625, 14.625, 13.731 Å; angles 107.65, 107.65, 111.17 degrees
Fractional coordinates of all 29 atoms:
K: 0.000 0.000 0.000
K: 0.070 0.894 0.302
K: 0.302 0.672 0.749
K: 0.311 0.488 0.942
K: 0.488 0.311 0.942
K: 0.499 0.675 0.558
K: 0.536 0.866 0.135
K: 0.672 0.302 0.749
K: 0.675 0.499 0.558
K: 0.866 0.536 0.135
K: 0.894 0.070 0.302
Rb: 0.002 0.680 0.899
Rb: 0.056 0.056 0.700
Rb: 0.097 0.435 0.357
Rb: 0.272 0.700 0.239
Rb: 0.304 0.304 0.577
Rb: 0.310 0.989 0.961
Rb: 0.337 0.337 0.211
Rb: 0.353 0.953 0.619
Rb: 0.435 0.097 0.357
Rb: 0.678 0.678 0.904
Rb: 0.680 0.002 0.899
Rb: 0.682 0.682 0.324
Rb: 0.700 0.272 0.239
Rb: 0.704 0.986 0.562
Rb: 0.953 0.353 0.619
Rb: 0.986 0.704 0.562
Rb: 0.989 0.310 0.961
Pb: 0.806 0.806 0.694



[10]
Density functional theory data (PBE-GGA) for a relaxed K6Rb2Pb crystal.

Calculated values
calculated volume	1254.07	Å³ per cell
space-group type	C2/c, No. 15
formation energy from the elements	-1.9	kJ per mole of atoms

Cell lengths 10.933, 10.933, 11.480 Å; angles 92.87, 92.87, 113.41 degrees
Fractional coordinates of all 18 atoms:
K: 0.018 0.606 0.202
K: 0.062 0.851 0.550
K: 0.149 0.938 0.950
K: 0.249 0.299 0.209
K: 0.299 0.249 0.709
K: 0.394 0.982 0.298
K: 0.606 0.018 0.702
K: 0.701 0.751 0.291
K: 0.751 0.701 0.791
K: 0.851 0.062 0.050
K: 0.938 0.149 0.450
K: 0.982 0.394 0.798
Rb: 0.325 0.610 0.524
Rb: 0.390 0.675 0.976
Rb: 0.610 0.325 0.024
Rb: 0.675 0.390 0.476
Pb: 0.052 0.948 0.250
Pb: 0.948 0.052 0.750



[11]
Density functional theory data (PBE-GGA) for a relaxed KRb2Pb crystal.

Calculated values
calculated volume	222.92	Å³ per cell
space-group type	P1, No. 1
formation energy from the elements	0.4	kJ per mole of atoms
polymorph energy (0 for the lowest one)	0.080	eV per atom

Cell lengths 5.065, 7.293, 7.337 Å; angles 113.95, 101.57, 105.79 degrees
Fractional coordinates of all 4 atoms:
K: 0.000 0.000 0.000
Rb: 0.059 0.414 0.627
Rb: 0.426 0.795 0.380
Pb: 0.656 0.376 0.006



[12]
Density functional theory data (PBE-GGA) for a relaxed KRb2Pb crystal.

Calculated values
calculated volume	239.93	Å³ per cell
space-group type	R-3m, No. 166
formation energy from the elements	23.7	kJ per mole of atoms
polymorph energy (0 for the lowest one)	0.321	eV per atom

Cell lengths 15.808, 15.808, 15.808 Å; angles 15.31, 15.31, 15.31 degrees
Fractional coordinates of all 4 atoms:
K: 0.000 0.000 0.000
Rb: 0.423 0.423 0.423
Rb: 0.577 0.577 0.577
Pb: 0.500 0.500 0.500